(1)
Material: NaLaTlCu
Method: DFT, PBE-GGA
State: relaxed Values from VASP.

Results
Space group: No. 216
Energy of formation from the pure elements in meV/atom: -64

Geometry as Quantum ESPRESSO input:
```
&SYSTEM
  ibrav = 0, nat = 4, ntyp = 4
/
ATOMIC_SPECIES
La 138.91 La.upf
Tl 204.38 Tl.upf
Cu 63.55 Cu.upf
Na 22.99 Na.upf
CELL_PARAMETERS angstrom
5.274 0.000 0.000
2.637 4.567 0.000
2.637 1.522 4.306
ATOMIC_POSITIONS angstrom
La 0.000 0.000 0.000
Tl 7.911 4.567 3.230
Cu 2.637 1.522 1.077
Na 5.274 3.045 2.153
```

(2)
Material: La2NbCu2
Method: DFT, PBE-GGA
State: relaxed Values from VASP.

Results
Space group: No. 127
Energy of formation from the pure elements in meV/atom: 178

Geometry as Quantum ESPRESSO input:
```
&SYSTEM
  ibrav = 0, nat = 10, ntyp = 3
/
ATOMIC_SPECIES
Nb 92.91 Nb.upf
La 138.91 La.upf
Cu 63.55 Cu.upf
CELL_PARAMETERS angstrom
7.057 0.000 0.000
0.000 7.057 0.000
0.000 0.000 4.643
ATOMIC_POSITIONS angstrom
Nb 3.529 3.529 0.000
Nb 0.000 0.000 0.000
La 5.719 2.191 2.322
La 1.338 4.867 2.322
La 4.867 5.719 2.322
La 2.191 1.338 2.322
Cu 4.409 0.880 0.000
Cu 0.880 2.648 0.000
Cu 6.177 4.409 0.000
Cu 2.648 6.177 0.000
```

(3)
Material: LaNbCu3
Method: DFT, PBE-GGA
State: relaxed Values from VASP.

Results
Space group: No. 221
Energy of formation from the pure elements in meV/atom: 1552

Geometry as Quantum ESPRESSO input:
```
&SYSTEM
  ibrav = 0, nat = 5, ntyp = 3
/
ATOMIC_SPECIES
La 138.91 La.upf
Cu 63.55 Cu.upf
Nb 92.91 Nb.upf
CELL_PARAMETERS angstrom
4.842 0.000 0.000
0.000 4.842 0.000
0.000 0.000 4.842
ATOMIC_POSITIONS angstrom
La 0.000 0.000 0.000
Cu 2.421 0.000 0.000
Cu 0.000 0.000 2.421
Cu 0.000 2.421 0.000
Nb 2.421 2.421 2.421
```

> energy of formation from the pure elements of number 2 (La2NbCu2)?

178 meV/atom

> What is the energy of formation from the pure elements in the first record?

-64 meV/atom

> The lowest energy of formation from the pure elements belongs to which entry?

NaLaTlCu

> Which value of energy of formation from the pure elements does entry 3 give?

1552 meV/atom